[1]
{"formula": "Na2PaSbSe4", "functional": "GGA-PBE", "state": "relaxed", "lattice_angstrom": [[-1.3947, -3.1263, 2.4518], [5.8092, 0.8637, 4.4056], [-5.4947, 4.3222, 2.3856]], "species": ["Se", "Se", "Se", "Se", "Pa", "Na", "Na", "Sb"], "frac_coords": [[0.0000, 0.7410, 0.2342], [0.5000, 0.2490, 0.2305], [0.5000, 0.7510, 0.7695], [0.0000, 0.2590, 0.7658], [0.5000, 0.5000, 0.0000], [0.5000, 0.0000, 0.5000], [0.0000, 0.5000, 0.5000], [0.0000, 0.0000, 0.0000]], "formation_energy_uncorrected_ev_per_atom": -0.92, "spacegroup": "P2/m", "e_tot_ev_per_atom": -4.6991, "density_kg_m3": 5497, "magnetic_moment_mub_per_atom": 0.21}

---

[2]
{"formula": "Mg2ScMnBr", "functional": "GGA-PBE", "state": "relaxed", "lattice_angstrom": [[-3.2816, 0.7969, 3.7849], [1.4427, -4.3198, 2.1603], [3.5851, 2.4897, 2.5842]], "species": ["Mg", "Mg", "Sc", "Br", "Mn"], "frac_coords": [[0.0000, 0.0000, 0.5000], [0.5000, 0.0000, 0.0000], [0.0000, 0.5000, 0.0000], [0.0000, 0.0000, 0.0000], [0.5000, 0.5000, 0.5000]], "formation_energy_uncorrected_ev_per_atom": 0.54, "spacegroup": "P4/mmm", "e_tot_ev_per_atom": -3.5376, "density_kg_m3": 2924, "magnetic_moment_mub_per_atom": 0.77}

---

[3]
{"formula": "AcPrSmHo2", "functional": "GGA-PBE", "state": "relaxed", "lattice_angstrom": [[-6.0910, -2.2181, 0.8770], [0.1550, -2.7679, -5.9234], [3.1076, -5.9708, 6.4818]], "species": ["Ho", "Ho", "Ho", "Ho", "Sm", "Sm", "Ac", "Ac", "Pr", "Pr"], "frac_coords": [[0.5000, 0.2489, 0.0000], [0.0000, 0.7511, 0.0000], [0.0000, 0.2489, 0.0000], [0.5000, 0.7511, 0.0000], [0.2500, 0.2504, 0.5009], [0.7500, 0.7496, 0.4991], [0.2500, 0.6591, 0.3183], [0.7500, 0.3409, 0.6817], [0.7500, 0.1509, 0.3019], [0.2500, 0.8491, 0.6981]], "spacegroup": "Cmcm", "e_tot_ev_per_atom": -4.1864, "density_kg_m3": 7521, "magnetic_moment_mub_per_atom": 0.00, "delta_e_f_mev_per_atom": 366}

---

[4]
{"formula": "Ca2PrHg", "functional": "GGA-PBE", "state": "relaxed", "lattice_angstrom": [[-3.3628, 0.6686, -1.3553], [0.0212, -3.2851, -1.6734], [-3.9916, -4.0525, 7.9050]], "species": ["Pr", "Ca", "Ca", "Hg"], "frac_coords": [[0.5000, 0.5000, 0.5000], [0.0000, 0.0000, 0.2017], [0.0000, 0.0000, 0.7983], [0.5000, 0.5000, 0.0000]], "e_above_lowest_polymorph_mev_per_atom": 0.0, "spacegroup": "P4/mmm", "e_tot_ev_per_atom": -2.4896, "density_kg_m3": 5289, "magnetic_moment_mub_per_atom": 0.00, "delta_e_f_mev_per_atom": -219}

---

[5]
{"formula": "PaTl2CuS5", "functional": "GGA-PBE", "state": "relaxed", "lattice_angstrom": [[3.9611, 0.0000, 0.0000], [-1.9806, 8.9285, 0.0000], [0.0000, 0.0000, 13.4251]], "species": ["S", "S", "S", "S", "S", "S", "S", "S", "S", "S", "Cu", "Cu", "Tl", "Tl", "Tl", "Tl", "Pa", "Pa"], "frac_coords": [[0.0521, 0.1043, 0.0164], [0.3517, 0.7035, 0.9990], [0.5161, 0.0321, 0.2934], [0.3034, 0.6068, 0.3723], [0.9479, 0.8957, 0.5164], [0.6966, 0.3932, 0.8723], [0.7143, 0.4285, 0.1343], [0.6483, 0.2965, 0.4990], [0.4839, 0.9679, 0.7934], [0.2857, 0.5715, 0.6343], [0.4267, 0.8534, 0.4210], [0.5733, 0.1466, 0.9210], [0.9215, 0.8431, 0.8933], [0.1099, 0.2197, 0.6869], [0.8901, 0.7803, 0.1869], [0.0785, 0.1569, 0.3933], [0.1972, 0.3945, 0.0074], [0.8028, 0.6055, 0.5074]], "formation_energy_uncorrected_ev_per_atom": -0.73, "spacegroup": "Cmc2_1", "e_tot_ev_per_atom": -5.0609, "density_kg_m3": 6041, "magnetic_moment_mub_per_atom": 0.00}

---

[6]
{"formula": "LaMgS2Cl", "functional": "GGA-PBE", "state": "relaxed", "lattice_angstrom": [[-0.3903, 5.4746, 0.8755], [-0.0035, -0.8779, 5.4881], [5.3755, 0.3731, 0.0631]], "species": ["Cl", "Mg", "S", "S", "La"], "frac_coords": [[0.0000, 0.0000, 0.5000], [0.5000, 0.5000, 0.5000], [0.5000, 0.0000, 0.0000], [0.0000, 0.5000, 0.0000], [0.0000, 0.0000, 0.0000]], "e_above_lowest_polymorph_mev_per_atom": 614.0, "formation_energy_uncorrected_ev_per_atom": -0.95, "spacegroup": "P4/mmm", "e_tot_ev_per_atom": -4.2790, "density_kg_m3": 2621, "magnetic_moment_mub_per_atom": 0.00}